# CaZn12Ga4 | Alexandria via LeMat-Bulk | PBE | optimized geometry
data_CaZn12Ga4
_chemical_formula_sum 'Ca2 Zn24 Ga8'
_symmetry_space_group_name_H-M 'I m -3'
_symmetry_Int_Tables_number 204
_symmetry_space_group_name_Hall '-I 2 2 3'
_cell_length_a 8.821
_cell_length_b 8.821
_cell_length_c 8.821
_cell_angle_alpha 90.00
_cell_angle_beta 90.00
_cell_angle_gamma 90.00
loop_
_atom_site_label
_atom_site_type_symbol
_atom_site_fract_x
_atom_site_fract_y
_atom_site_fract_z
Ca1 Ca 0.000 0.000 0.000
Zn1 Zn 0.000 0.355 0.149
Ga1 Ga 0.250 0.250 0.250
# * DOS at the Fermi energy: 25.12 states/eV per cell
# * size of the total moment: 0.000 μB per cell
# * total DFT energy (no corrections): -53.4 eV per cell
# * calculated formation energy: 0.159 eV per atom

***

# RbCrTeI2 | Alexandria via LeMat-Bulk | PBE | optimized geometry
data_RbCrTeI2
_chemical_formula_sum 'Rb1 Cr1 Te1 I2'
_symmetry_space_group_name_H-M 'P 4/m m m'
_symmetry_Int_Tables_number 123
_symmetry_space_group_name_Hall '-P 4 2'
_cell_length_a 5.894
_cell_length_b 5.894
_cell_length_c 5.267
_cell_angle_alpha 90.00
_cell_angle_beta 90.00
_cell_angle_gamma 90.00
loop_
_atom_site_label
_atom_site_type_symbol
_atom_site_fract_x
_atom_site_fract_y
_atom_site_fract_z
Rb1 Rb 0.000 0.000 0.000
Cr1 Cr 0.500 0.500 0.500
Te1 Te 0.500 0.500 0.000
I1 I 0.000 0.500 0.500
# * DOS at the Fermi energy: 2.40 states/eV per cell
# * size of the total moment: 2.996 μB per cell
# * total DFT energy (no corrections): -19.5 eV per cell
# * E_form (uncorrected): -0.534 eV per atom

***

# BeGaPdSe2 | Alexandria via LeMat-Bulk | PBE | optimized geometry
data_BeGaPdSe2
_chemical_formula_sum 'Be1 Ga1 Pd1 Se2'
_symmetry_space_group_name_H-M 'P 4/m m m'
_symmetry_Int_Tables_number 123
_symmetry_space_group_name_Hall '-P 4 2'
_cell_length_a 4.638
_cell_length_b 4.638
_cell_length_c 4.466
_cell_angle_alpha 90.00
_cell_angle_beta 90.00
_cell_angle_gamma 90.00
loop_
_atom_site_label
_atom_site_type_symbol
_atom_site_fract_x
_atom_site_fract_y
_atom_site_fract_z
Be1 Be 0.000 0.000 0.000
Ga1 Ga 0.500 0.500 0.500
Pd1 Pd 0.000 0.000 0.500
Se1 Se 0.000 0.500 0.000
# * DOS at the Fermi energy: 4.39 states/eV per cell
# * size of the total moment: 0.000 μB per cell
# * total DFT energy (no corrections): -18.1 eV per cell
# * E_form (uncorrected): 0.166 eV per atom

***

# Ac2Zn5Ag4 | Alexandria via LeMat-Bulk | PBE | optimized geometry
data_Ac2Zn5Ag4
_chemical_formula_sum 'Ac8 Zn20 Ag16'
_symmetry_space_group_name_H-M 'F m m m'
_symmetry_Int_Tables_number 69
_symmetry_space_group_name_Hall '-F 2 2'
_cell_length_a 5.787
_cell_length_b 9.698
_cell_length_c 17.104
_cell_angle_alpha 90.00
_cell_angle_beta 90.00
_cell_angle_gamma 90.00
loop_
_atom_site_label
_atom_site_type_symbol
_atom_site_fract_x
_atom_site_fract_y
_atom_site_fract_z
Ac1 Ac 0.000 0.000 0.135
Zn1 Zn 0.000 0.000 0.500
Zn2 Zn 0.250 0.250 0.000
Zn3 Zn 0.250 0.250 0.250
Ag1 Ag 0.000 0.156 0.370
# * DOS at the Fermi energy: 15.12 states/eV per cell
# * size of the total moment: 0.000 μB per cell
# * total DFT energy (no corrections): -114.3 eV per cell
# * calculated formation energy: -0.234 eV per atom

***

# CaPrBiSb | Alexandria via LeMat-Bulk | PBE | optimized geometry
data_CaPrBiSb
_chemical_formula_sum 'Ca4 Pr4 Bi4 Sb4'
_symmetry_space_group_name_H-M 'F -4 3 m'
_symmetry_Int_Tables_number 216
_symmetry_space_group_name_Hall 'F -4 2 3'
_cell_length_a 7.916
_cell_length_b 7.916
_cell_length_c 7.916
_cell_angle_alpha 90.00
_cell_angle_beta 90.00
_cell_angle_gamma 90.00
loop_
_atom_site_label
_atom_site_type_symbol
_atom_site_fract_x
_atom_site_fract_y
_atom_site_fract_z
Ca1 Ca 0.000 0.000 0.000
Pr1 Pr 0.000 0.000 0.500
Bi1 Bi 0.250 0.250 0.250
Sb1 Sb 0.250 0.250 0.750
# * DOS at the Fermi energy: 7.77 states/eV per cell
# * size of the total moment: 0.000 μB per cell
# * total DFT energy (no corrections): -71.3 eV per cell
# * E_form (uncorrected): -0.761 eV per atom

***

# CsTlBr2 | Alexandria via LeMat-Bulk | PBE | optimized geometry
data_CsTlBr2
_chemical_formula_sum 'Cs4 Tl4 Br8'
_symmetry_space_group_name_H-M 'F m -3 m'
_symmetry_Int_Tables_number 225
_symmetry_space_group_name_Hall '-F 4 2 3'
_cell_length_a 8.429
_cell_length_b 8.429
_cell_length_c 8.429
_cell_angle_alpha 90.00
_cell_angle_beta 90.00
_cell_angle_gamma 90.00
loop_
_atom_site_label
_atom_site_type_symbol
_atom_site_fract_x
_atom_site_fract_y
_atom_site_fract_z
Cs1 Cs 0.000 0.000 0.000
Tl1 Tl 0.000 0.000 0.500
Br1 Br 0.250 0.250 0.250
# * DOS at the Fermi energy: 0.00 states/eV per cell
# * size of the total moment: 0.000 μB per cell
# * total DFT energy (no corrections): -46.5 eV per cell
# * E_form (uncorrected): -1.262 eV per atom

***

# ZrReSi4 | Alexandria via LeMat-Bulk | PBE | optimized geometry
data_ZrReSi4
_chemical_formula_sum 'Zr4 Re4 Si16'
_symmetry_space_group_name_H-M 'F -4 3 m'
_symmetry_Int_Tables_number 216
_symmetry_space_group_name_Hall 'F -4 2 3'
_cell_length_a 7.004
_cell_length_b 7.004
_cell_length_c 7.004
_cell_angle_alpha 90.00
_cell_angle_beta 90.00
_cell_angle_gamma 90.00
loop_
_atom_site_label
_atom_site_type_symbol
_atom_site_fract_x
_atom_site_fract_y
_atom_site_fract_z
Zr1 Zr 0.000 0.000 0.000
Re1 Re 0.250 0.250 0.750
Si1 Si 0.125 0.125 0.375
# * DOS at the Fermi energy: 20.72 states/eV per cell
# * size of the total moment: 0.028 μB per cell
# * total DFT energy (no corrections): -165.4 eV per cell
# * E_form (uncorrected): 0.224 eV per atom

***

# Ag2PtAu3 | Alexandria via LeMat-Bulk | PBE | optimized geometry
data_Ag2PtAu3
_chemical_formula_sum 'Ag8 Pt4 Au12'
_symmetry_space_group_name_H-M 'C m m m'
_symmetry_Int_Tables_number 65
_symmetry_space_group_name_Hall '-C 2 2'
_cell_length_a 4.181
_cell_length_b 12.587
_cell_length_c 7.971
_cell_angle_alpha 90.00
_cell_angle_beta 90.00
_cell_angle_gamma 90.00
loop_
_atom_site_label
_atom_site_type_symbol
_atom_site_fract_x
_atom_site_fract_y
_atom_site_fract_z
Ag1 Ag 0.000 0.000 0.000
Ag2 Ag 0.000 0.000 0.500
Ag3 Ag 0.000 0.334 0.000
Pt1 Pt 0.000 0.331 0.500
Au1 Au 0.000 0.167 0.254
Au2 Au 0.000 0.500 0.256
# * DOS at the Fermi energy: 6.36 states/eV per cell
# * size of the total moment: 0.000 μB per cell
# * total DFT energy (no corrections): -86.7 eV per cell
# * calculated formation energy: -0.016 eV per atom

***

# ReI2NF | Alexandria via LeMat-Bulk | PBE | optimized geometry
data_ReI2NF
_chemical_formula_sum 'Re1 I2 N1 F1'
_symmetry_space_group_name_H-M 'P 4/m m m'
_symmetry_Int_Tables_number 123
_symmetry_space_group_name_Hall '-P 4 2'
_cell_length_a 5.503
_cell_length_b 5.503
_cell_length_c 3.427
_cell_angle_alpha 90.00
_cell_angle_beta 90.00
_cell_angle_gamma 90.00
loop_
_atom_site_label
_atom_site_type_symbol
_atom_site_fract_x
_atom_site_fract_y
_atom_site_fract_z
Re1 Re 0.000 0.000 0.000
I1 I 0.000 0.500 0.500
N1 N 0.500 0.500 0.000
F1 F 0.500 0.500 0.500
# * DOS at the Fermi energy: 3.16 states/eV per cell
# * size of the total moment: 4.546 μB per cell
# * total DFT energy (no corrections): -16.2 eV per cell
# * E_form (uncorrected): 1.906 eV per atom

***

# AgAsOs | Alexandria via LeMat-Bulk | PBE | optimized geometry
data_AgAsOs
_chemical_formula_sum 'Ag2 As2 Os2'
_symmetry_space_group_name_H-M 'I 4 m m'
_symmetry_Int_Tables_number 107
_symmetry_space_group_name_Hall 'I 4 -2'
_cell_length_a 3.109
_cell_length_b 3.109
_cell_length_c 10.389
_cell_angle_alpha 90.00
_cell_angle_beta 90.00
_cell_angle_gamma 90.00
loop_
_atom_site_label
_atom_site_type_symbol
_atom_site_fract_x
_atom_site_fract_y
_atom_site_fract_z
Ag1 Ag 0.000 0.000 0.000
As1 As 0.000 0.000 0.693
Os1 Os 0.000 0.000 0.307
# * DOS at the Fermi energy: 0.50 states/eV per cell
# * size of the total moment: 0.000 μB per cell
# * total DFT energy (no corrections): -35.3 eV per cell
# * calculated formation energy: 0.357 eV per atom

***

# Rb2AlSe | Alexandria via LeMat-Bulk | PBE | optimized geometry
data_Rb2AlSe
_chemical_formula_sum 'Rb8 Al4 Se4'
_symmetry_space_group_name_H-M 'F m -3 m'
_symmetry_Int_Tables_number 225
_symmetry_space_group_name_Hall '-F 4 2 3'
_cell_length_a 8.397
_cell_length_b 8.397
_cell_length_c 8.397
_cell_angle_alpha 90.00
_cell_angle_beta 90.00
_cell_angle_gamma 90.00
loop_
_atom_site_label
_atom_site_type_symbol
_atom_site_fract_x
_atom_site_fract_y
_atom_site_fract_z
Rb1 Rb 0.250 0.250 0.250
Al1 Al 0.000 0.000 0.000
Se1 Se 0.000 0.000 0.500
# * DOS at the Fermi energy: 13.75 states/eV per cell
# * size of the total moment: 4.000 μB per cell
# * total DFT energy (no corrections): -37.9 eV per cell
# * E_form (uncorrected): -0.078 eV per atom

***

# Sm2EuSn | Alexandria via LeMat-Bulk | PBE | optimized geometry
data_Sm2EuSn
_chemical_formula_sum 'Sm8 Eu4 Sn4'
_symmetry_space_group_name_H-M 'F m -3 m'
_symmetry_Int_Tables_number 225
_symmetry_space_group_name_Hall '-F 4 2 3'
_cell_length_a 7.839
_cell_length_b 7.839
_cell_length_c 7.839
_cell_angle_alpha 90.00
_cell_angle_beta 90.00
_cell_angle_gamma 90.00
loop_
_atom_site_label
_atom_site_type_symbol
_atom_site_fract_x
_atom_site_fract_y
_atom_site_fract_z
Sm1 Sm 0.250 0.250 0.250
Eu1 Eu 0.000 0.000 0.000
Sn1 Sn 0.000 0.000 0.500
# * DOS at the Fermi energy: 25.11 states/eV per cell
# * size of the total moment: 30.838 μB per cell
# * total DFT energy (no corrections): -99.2 eV per cell
# * calculated formation energy: -0.273 eV per atom

***

# SiAuN2 | Alexandria via LeMat-Bulk | PBE | optimized geometry
data_SiAuN2
_chemical_formula_sum 'Si3 Au3 N6'
_symmetry_space_group_name_H-M 'R -3 m'
_symmetry_Int_Tables_number 166
_symmetry_space_group_name_Hall '-R 3 2"'
_cell_length_a 2.8542
_cell_length_b 2.8542
_cell_length_c 18.1763
_cell_angle_alpha 90.00
_cell_angle_beta 90.00
_cell_angle_gamma 120.00
loop_
_atom_site_label
_atom_site_type_symbol
_atom_site_fract_x
_atom_site_fract_y
_atom_site_fract_z
Si1 Si 0.0000 0.0000 0.0000
Au1 Au 0.0000 0.0000 0.5000
N1 N 0.0000 0.0000 0.3864
# * DOS at the Fermi energy: 6.42 states/eV per cell
# * size of the total moment: 0.000 μB per cell
# * total DFT energy (no corrections): -76.9 eV per cell
# * E_form (uncorrected): -0.074 eV per atom

***

# Hf4ReIr | Alexandria via LeMat-Bulk | PBE | optimized geometry
data_Hf4ReIr
_chemical_formula_sum 'Hf16 Re4 Ir4'
_symmetry_space_group_name_H-M 'C 1 2/c 1'
_symmetry_Int_Tables_number 15
_cell_length_a 8.314
_cell_length_b 12.271
_cell_length_c 5.626
_cell_angle_alpha 90.00
_cell_angle_beta 120.18
_cell_angle_gamma 90.00
loop_
_symmetry_equiv_pos_as_xyz
'x,y,z'
'-x,-y,-z'
'-x,y,-z+1/2'
'x,-y,z+1/2'
'x+1/2,y+1/2,z'
'-x+1/2,-y+1/2,-z'
'-x+1/2,y+1/2,-z+1/2'
'x+1/2,-y+1/2,z+1/2'
loop_
_atom_site_label
_atom_site_type_symbol
_atom_site_fract_x
_atom_site_fract_y
_atom_site_fract_z
Hf1 Hf 0.131 0.181 0.098
Hf2 Hf 0.191 0.436 0.270
Re1 Re 0.000 0.361 0.750
Ir1 Ir 0.000 0.000 0.250
# * DOS at the Fermi energy: 23.76 states/eV per cell
# * size of the total moment: 0.000 μB per cell
# * total DFT energy (no corrections): -252.8 eV per cell
# * calculated formation energy: -0.347 eV per atom

***

# Ba6TlPd2Br3 | Alexandria via LeMat-Bulk | PBE | optimized geometry
data_Ba6TlPd2Br3
_chemical_formula_sum 'Ba12 Tl2 Pd4 Br6'
_symmetry_space_group_name_H-M 'C 1 2/m 1'
_symmetry_Int_Tables_number 12
_cell_length_a 21.741
_cell_length_b 4.634
_cell_length_c 10.162
_cell_angle_alpha 90.00
_cell_angle_beta 108.54
_cell_angle_gamma 90.00
loop_
_symmetry_equiv_pos_as_xyz
'x,y,z'
'-x,-y,-z'
'-x,y,-z'
'x,-y,z'
'x+1/2,y+1/2,z'
'-x+1/2,-y+1/2,-z'
'-x+1/2,y+1/2,-z'
'x+1/2,-y+1/2,z'
loop_
_atom_site_label
_atom_site_type_symbol
_atom_site_fract_x
_atom_site_fract_y
_atom_site_fract_z
Ba1 Ba 0.010 0.000 0.257
Ba2 Ba 0.166 0.500 0.107
Ba3 Ba 0.177 0.500 0.561
Tl1 Tl 0.000 0.500 0.000
Pd1 Pd 0.167 0.000 0.334
Br1 Br 0.000 0.500 0.500
Br2 Br 0.167 0.000 0.829
# * DOS at the Fermi energy: 12.88 states/eV per cell
# * size of the total moment: 0.000 μB per cell
# * total DFT energy (no corrections): -84.2 eV per cell
# * E_form (uncorrected): -1.064 eV per atom

***

# Ca8AsP3Br4 | Alexandria via LeMat-Bulk | PBE | optimized geometry
data_Ca8AsP3Br4
_chemical_formula_sum 'Ca16 As2 P6 Br8'
_symmetry_space_group_name_H-M 'C 1 2/m 1'
_symmetry_Int_Tables_number 12
_cell_length_a 14.753
_cell_length_b 8.520
_cell_length_c 8.630
_cell_angle_alpha 90.00
_cell_angle_beta 124.78
_cell_angle_gamma 90.00
loop_
_symmetry_equiv_pos_as_xyz
'x,y,z'
'-x,-y,-z'
'-x,y,-z'
'x,-y,z'
'x+1/2,y+1/2,z'
'-x+1/2,-y+1/2,-z'
'-x+1/2,y+1/2,-z'
'x+1/2,-y+1/2,z'
loop_
_atom_site_label
_atom_site_type_symbol
_atom_site_fract_x
_atom_site_fract_y
_atom_site_fract_z
Ca1 Ca 0.016 0.247 0.296
Ca2 Ca 0.234 0.000 0.702
Ca3 Ca 0.237 0.500 0.704
As1 As 0.000 0.500 0.500
P1 P 0.000 0.000 0.500
P2 P 0.250 0.250 0.500
Br1 Br 0.000 0.000 0.000
Br2 Br 0.000 0.500 0.000
Br3 Br 0.250 0.250 0.000
# * DOS at the Fermi energy: 0.00 states/eV per cell
# * size of the total moment: 0.000 μB per cell
# * total DFT energy (no corrections): -136.9 eV per cell
# * E_form (uncorrected): -1.556 eV per atom

***

# Dy2ScCd2 | Alexandria via LeMat-Bulk | PBE | optimized geometry
data_Dy2ScCd2
_chemical_formula_sum 'Dy4 Sc2 Cd4'
_symmetry_space_group_name_H-M 'I m m m'
_symmetry_Int_Tables_number 71
_symmetry_space_group_name_Hall '-I 2 2'
_cell_length_a 3.847
_cell_length_b 7.067
_cell_length_c 9.932
_cell_angle_alpha 90.00
_cell_angle_beta 90.00
_cell_angle_gamma 90.00
loop_
_atom_site_label
_atom_site_type_symbol
_atom_site_fract_x
_atom_site_fract_y
_atom_site_fract_z
Dy1 Dy 0.000 0.000 0.223
Sc1 Sc 0.000 0.500 0.000
Cd1 Cd 0.000 0.299 0.500
# * DOS at the Fermi energy: 11.53 states/eV per cell
# * size of the total moment: 0.001 μB per cell
# * total DFT energy (no corrections): -35.8 eV per cell
# * calculated formation energy: -0.107 eV per atom